(1)
CaMoPb | PBE | relaxed

Unit cell a=7.482 b=7.482 c=7.482 alpha=155.74 beta=155.74 gamma=34.57
Fractional positions:
Ca 0.000 0.000 0.000
Mo 0.663 0.663 0.000
Pb 0.310 0.310 0.000

Results
The calculation puts the density of states at the Fermi level at 0.729 states/eV/atom. As for the offset from the most stable computed form: 63.9 meV per atom. Its calculated volume is 70.63 Å³/cell. The value obtained for the formation energy is 1.627 eV/f.u. As for the total DFT energy (no corrections): -4.971 eV per atom.

(2)
La6PrTm3 | PBE | relaxed

Unit cell a=7.097 b=7.097 c=7.097 alpha=89.93 beta=89.93 gamma=89.93
Fractional positions:
La 0.000 0.328 0.672
La 0.173 0.826 0.500
La 0.328 0.672 0.000
La 0.500 0.173 0.826
La 0.672 0.000 0.328
La 0.826 0.500 0.173
Pr 0.000 0.000 0.000
Tm 0.254 0.254 0.254
Tm 0.500 0.500 0.500
Tm 0.746 0.746 0.746

Results
The calculation puts the density of states at the Fermi level at 1.831 states/eV/atom. Its calculated volume is 357.50 Å³/cell. The value obtained for the formation energy is 1.855 eV/f.u. As for the total DFT energy (no corrections): -4.590 eV per atom.

(3)
Os3WN | PBE | relaxed

Unit cell a=4.056 b=4.056 c=4.056 alpha=90.00 beta=90.00 gamma=90.00
Fractional positions:
Os 0.000 0.000 0.500
Os 0.000 0.500 0.000
Os 0.500 0.000 0.000
W 0.500 0.500 0.500
N 0.000 0.000 0.000

Results
The calculation puts the density of states at the Fermi level at 0.657 states/eV/atom. The calculation puts the raw formation energy at 0.64 eV per atom. As for the offset from the most stable computed form: 0.0 meV per atom. Its calculated volume is 66.73 Å³/cell. As for the total DFT energy (no corrections): -10.356 eV per atom.

(4)
GdHf2Ta | PBE | relaxed

Unit cell a=3.172 b=3.172 c=9.495 alpha=90.00 beta=90.00 gamma=90.00
Fractional positions:
Gd 0.000 0.000 0.000
Hf 0.500 0.500 0.293
Hf 0.500 0.500 0.707
Ta 0.000 0.000 0.500

Results
The calculation puts the density of states at the Fermi level at 1.196 states/eV/atom. Its calculated volume is 95.53 Å³/cell. The value obtained for the formation energy is 0.764 eV/f.u. As for the total DFT energy (no corrections): -11.269 eV per atom.

(5)
Cu5Hg | PBE | relaxed

Unit cell a=5.147 b=5.147 c=5.147 alpha=53.43 beta=53.43 gamma=53.43
Fractional positions:
Cu 0.000 0.678 0.322
Cu 0.168 0.168 0.168
Cu 0.322 0.000 0.678
Cu 0.678 0.322 0.000
Cu 0.832 0.832 0.832
Hg 0.500 0.500 0.500

Results
The calculation puts the density of states at the Fermi level at 0.307 states/eV/atom. Its calculated volume is 81.60 Å³/cell. The value obtained for the formation energy is 0.703 eV/f.u. As for the total DFT energy (no corrections): -3.347 eV per atom.

(6)
CaLa2ZnIr | PBE | relaxed

Unit cell a=5.531 b=5.531 c=5.640 alpha=90.00 beta=90.00 gamma=90.00
Fractional positions:
Ca 0.000 0.000 0.000
La 0.000 0.500 0.500
La 0.500 0.000 0.500
Zn 0.500 0.500 0.000
Ir 0.000 0.000 0.500

Results
The calculation puts the density of states at the Fermi level at 0.882 states/eV/atom. As for the offset from the most stable computed form: 24.5 meV per atom. Its calculated volume is 172.54 Å³/cell. The value obtained for the formation energy is -1.303 eV/f.u. As for the total DFT energy (no corrections): -4.659 eV per atom.

(7)
K2ErRu3O12 | PBE | relaxed

Unit cell a=7.461 b=7.461 c=7.461 alpha=58.67 beta=58.67 gamma=58.67
Fractional positions:
K 0.128 0.128 0.128
K 0.872 0.872 0.872
Er 0.500 0.500 0.500
Ru 0.000 0.500 0.500
Ru 0.500 0.000 0.500
Ru 0.500 0.500 0.000
O 0.141 0.581 0.581
O 0.196 0.196 0.577
O 0.196 0.577 0.196
O 0.419 0.419 0.859
O 0.419 0.859 0.419
O 0.423 0.804 0.804
O 0.577 0.196 0.196
O 0.581 0.141 0.581
O 0.581 0.581 0.141
O 0.804 0.423 0.804
O 0.804 0.804 0.423
O 0.859 0.419 0.419

Results
The calculation puts the density of states at the Fermi level at 0.575 states/eV/atom. The calculation puts the raw formation energy at -1.27 eV per atom. Its calculated volume is 284.74 Å³/cell. As for the total DFT energy (no corrections): -6.500 eV per atom.

(8)
Ce2O | PBE | relaxed

Unit cell a=4.404 b=4.404 c=3.368 alpha=99.88 beta=99.88 gamma=99.56
Fractional positions:
Ce 0.196 0.196 0.335
Ce 0.804 0.804 0.665
O 0.500 0.500 0.000

Results
The calculation puts the density of states at the Fermi level at 1.825 states/eV/atom. The calculation puts the raw formation energy at -1.39 eV per atom. Its calculated volume is 62.10 Å³/cell. As for the total DFT energy (no corrections): -7.003 eV per atom.

(9)
BaNpCl6 | PBE | relaxed

Unit cell a=6.931 b=6.931 c=7.268 alpha=112.05 beta=112.05 gamma=73.68
Fractional positions:
Ba 0.000 0.000 0.000
Np 0.500 0.500 0.500
Cl 0.202 0.643 0.209
Cl 0.251 0.251 0.451
Cl 0.357 0.798 0.791
Cl 0.643 0.202 0.209
Cl 0.749 0.749 0.549
Cl 0.798 0.357 0.791

Results
The calculation puts the density of states at the Fermi level at 0.646 states/eV/atom. The calculation puts the raw formation energy at -1.95 eV per atom. As for the offset from the most stable computed form: 14.6 meV per atom. Its calculated volume is 295.94 Å³/cell. As for the total DFT energy (no corrections): -5.192 eV per atom.

(10)
La6Ge2CI3 | PBE | relaxed

Unit cell a=7.432 b=7.432 c=8.305 alpha=98.58 beta=98.58 gamma=119.92
Fractional positions:
La 0.063 0.366 0.189
La 0.239 0.239 0.807
La 0.366 0.063 0.189
La 0.634 0.937 0.811
La 0.761 0.761 0.193
La 0.937 0.634 0.811
Ge 0.334 0.666 0.000
Ge 0.666 0.334 0.000
C 0.000 0.000 0.000
I 0.174 0.826 0.500
I 0.500 0.500 0.500
I 0.826 0.174 0.500

Results
The calculation puts the density of states at the Fermi level at 0.551 states/eV/atom. The calculation puts the raw formation energy at -0.95 eV per atom. Its calculated volume is 379.49 Å³/cell. As for the total DFT energy (no corrections): -5.342 eV per atom.

(11)
TlCd2Sn4 | PBE | relaxed

Unit cell a=9.454 b=9.454 c=4.163 alpha=90.00 beta=90.00 gamma=147.43
Fractional positions:
Tl 0.000 0.000 0.000
Cd 0.424 0.576 0.500
Cd 0.576 0.424 0.500
Sn 0.168 0.832 0.500
Sn 0.301 0.699 0.000
Sn 0.699 0.301 0.000
Sn 0.832 0.168 0.500

Results
The calculation puts the density of states at the Fermi level at 0.458 states/eV/atom. Its calculated volume is 200.34 Å³/cell. The value obtained for the formation energy is 0.496 eV/f.u. As for the total DFT energy (no corrections): -2.816 eV per atom.

(12)
CrPb | PBE | relaxed

Unit cell a=6.967 b=6.967 c=6.967 alpha=95.32 beta=95.32 gamma=144.53
Fractional positions:
Cr 0.001 0.605 0.606
Cr 0.395 0.001 0.395
Cr 0.605 0.999 0.605
Cr 0.999 0.395 0.394
Pb 0.309 0.358 0.667
Pb 0.358 0.691 0.049
Pb 0.642 0.309 0.951
Pb 0.691 0.642 0.333

Results
The calculation puts the density of states at the Fermi level at 0.816 states/eV/atom. Its calculated volume is 186.89 Å³/cell. The value obtained for the formation energy is 1.275 eV/f.u. As for the total DFT energy (no corrections): -6.028 eV per atom.

(13)
Cs2TaBiP | PBE | relaxed

Unit cell a=7.534 b=7.534 c=5.234 alpha=90.00 beta=90.00 gamma=90.00
Fractional positions:
Cs 0.000 0.500 0.000
Cs 0.500 0.000 0.000
Ta 0.000 0.000 0.500
Bi 0.500 0.500 0.000
P 0.500 0.500 0.500

Results
The calculation puts the density of states at the Fermi level at 0.955 states/eV/atom. Its calculated volume is 297.07 Å³/cell. The value obtained for the formation energy is 7.028 eV/f.u. As for the total DFT energy (no corrections): -3.164 eV per atom.

(14)
PrZn10Ir2 | PBE | relaxed

Unit cell a=8.828 b=6.829 c=6.806 alpha=80.70 beta=49.76 gamma=49.53
Fractional positions:
Pr 0.000 0.000 0.000
Zn 0.000 0.500 0.000
Zn 0.010 0.649 0.351
Zn 0.280 0.500 0.500
Zn 0.351 0.990 0.010
Zn 0.500 0.000 0.500
Zn 0.500 0.280 0.720
Zn 0.500 0.720 0.280
Zn 0.649 0.010 0.990
Zn 0.720 0.500 0.500
Zn 0.990 0.351 0.649
Ir 0.000 0.000 0.500
Ir 0.500 0.500 0.000

Results
The calculation puts the density of states at the Fermi level at 0.528 states/eV/atom. Its calculated volume is 213.56 Å³/cell. The value obtained for the formation energy is -2.776 eV/f.u. As for the total DFT energy (no corrections): -2.924 eV per atom.

(15)
CsSb2S4 | PBE | relaxed

Unit cell a=7.028 b=7.258 c=11.566 alpha=98.93 beta=107.66 gamma=97.99
Fractional positions:
Cs 0.000 0.000 0.000
Cs 0.122 0.849 0.557
Sb 0.440 0.328 0.363
Sb 0.446 0.442 0.730
Sb 0.554 0.882 0.274
Sb 0.840 0.278 0.632
S 0.148 0.243 0.789
S 0.185 0.477 0.215
S 0.221 0.383 0.510
S 0.263 0.992 0.323
S 0.335 0.594 0.107
S 0.595 0.140 0.173
S 0.601 0.156 0.741
S 0.799 0.602 0.688

Results
The calculation puts the density of states at the Fermi level at 0.000 states/eV/atom. The calculation puts the raw formation energy at -0.47 eV per atom. Its calculated volume is 544.40 Å³/cell. As for the total DFT energy (no corrections): -4.125 eV per atom.

(16)
MgVNi | PBE | relaxed

Unit cell a=2.689 b=2.689 c=11.746 alpha=90.00 beta=90.00 gamma=90.63
Fractional positions:
Mg 0.000 0.000 0.155
Mg 0.000 0.000 0.845
V 0.500 0.500 0.353
V 0.500 0.500 0.647
Ni 0.000 0.000 0.500
Ni 0.500 0.500 0.000

Results
The calculation puts the density of states at the Fermi level at 1.335 states/eV/atom. As for the offset from the most stable computed form: 51.1 meV per atom. Its calculated volume is 84.93 Å³/cell. The value obtained for the formation energy is 0.349 eV/f.u. As for the total DFT energy (no corrections): -5.382 eV per atom.

(17)
SrHf3Ru | PBE | relaxed

Unit cell a=5.108 b=5.108 c=5.108 alpha=90.00 beta=90.00 gamma=90.00
Fractional positions:
Sr 0.000 0.000 0.000
Hf 0.000 0.500 0.500
Hf 0.500 0.000 0.500
Hf 0.500 0.500 0.000
Ru 0.500 0.500 0.500

Results
The calculation puts the density of states at the Fermi level at 1.501 states/eV/atom. As for the offset from the most stable computed form: 0.0 meV per atom. Its calculated volume is 133.26 Å³/cell. The value obtained for the formation energy is 1.207 eV/f.u. As for the total DFT energy (no corrections): -7.922 eV per atom.

(18)
TlS2Br2 | PBE | relaxed

Unit cell a=12.106 b=12.106 c=12.106 alpha=163.38 beta=163.38 gamma=23.59
Fractional positions:
Tl 0.000 0.000 0.000
S 0.250 0.750 0.500
S 0.750 0.250 0.500
Br 0.421 0.421 0.000
Br 0.579 0.579 0.000

Results
The calculation puts the density of states at the Fermi level at 0.440 states/eV/atom. The calculation puts the raw formation energy at 0.04 eV per atom. As for the offset from the most stable computed form: 212.6 meV per atom. Its calculated volume is 145.12 Å³/cell. As for the total DFT energy (no corrections): -2.755 eV per atom.

(19)
Ag3Pd3Pt2 | PBE | relaxed

Unit cell a=8.695 b=8.695 c=8.695 alpha=153.73 beta=153.40 gamma=37.73
Fractional positions:
Ag 0.000 0.000 0.000
Ag 0.125 0.625 0.500
Ag 0.875 0.375 0.500
Pd 0.373 0.873 0.500
Pd 0.500 0.500 0.000
Pd 0.627 0.127 0.500
Pt 0.251 0.251 0.000
Pt 0.749 0.749 0.000

Results
The calculation puts the density of states at the Fermi level at 0.972 states/eV/atom. Its calculated volume is 130.05 Å³/cell. The value obtained for the formation energy is -0.010 eV/f.u. As for the total DFT energy (no corrections): -4.528 eV per atom.

(20)
KRh2Pb | PBE | relaxed

Unit cell a=3.057 b=4.218 c=7.739 alpha=90.00 beta=100.36 gamma=90.00
Fractional positions:
K 0.000 0.000 0.000
Rh 0.306 0.500 0.670
Rh 0.769 0.000 0.597
Pb 0.660 0.500 0.355

Results
The calculation puts the density of states at the Fermi level at 1.018 states/eV/atom. Its calculated volume is 98.17 Å³/cell. The value obtained for the formation energy is 0.953 eV/f.u. As for the total DFT energy (no corrections): -4.639 eV per atom.